[1]
# LiErRuRh

Crystalline LiErRuRh at its relaxed geometry (PBE, Alexandria).

Cell and atoms, written as extended XYZ:
```
4
Lattice="-1.963 -2.333 -3.365 -1.470 -4.234 0.729 -4.456 -0.865 0.135" Properties=species:S:1:pos:R:3 pbc="T T T"
Ru -3.944 -3.716 -1.251
Li 0.000 0.000 0.000
Rh -1.972 -1.858 -0.625
Er -5.916 -5.574 -1.876
```

## Properties
Raw total energy = -5.889 eV per atom
DFT formation energy = -113 meV/atom

[2]
# LiErSc2Rh4

Crystalline LiErSc2Rh4 at its relaxed geometry (PBE, Alexandria).

Cell and atoms, written as extended XYZ:
```
8
Lattice="4.531 0.000 0.000 2.265 3.924 0.000 2.265 1.308 7.468" Properties=species:S:1:pos:R:3 pbc="T T T"
Li 4.531 2.616 3.734
Er 0.000 0.000 0.000
Sc 6.796 3.924 5.420
Sc 2.265 1.308 2.047
Rh 4.531 2.616 6.466
Rh 6.796 3.924 2.806
Rh 2.265 1.308 4.662
Rh 4.531 2.616 1.001
```

## Properties
Raw total energy = -6.870 eV per atom
DFT formation energy = -801 meV/atom

[3]
# LiErSiRh

Crystalline LiErSiRh at its relaxed geometry (PBE, Alexandria).

Cell and atoms, written as extended XYZ:
```
4
Lattice="4.502 0.000 0.000 2.251 3.899 0.000 2.251 1.300 3.676" Properties=species:S:1:pos:R:3 pbc="T T T"
Si 6.753 3.899 2.757
Li 4.502 2.599 1.838
Rh 0.000 0.000 0.000
Er 2.251 1.300 0.919
```

## Properties
E_form (uncorrected) = -0.65 eV/atom
Raw total energy = -5.458 eV per atom

[4]
# LiSmErRh

Crystalline LiSmErRh at its relaxed geometry (PBE, Alexandria).

Cell and atoms, written as extended XYZ:
```
4
Lattice="4.964 0.000 0.000 2.482 4.299 0.000 2.482 1.433 4.053" Properties=species:S:1:pos:R:3 pbc="T T T"
Li 0.000 0.000 0.000
Rh 4.964 2.866 2.027
Sm 2.482 1.433 1.013
Er 7.446 4.299 3.040
```

## Properties
Raw total energy = -5.090 eV per atom
DFT formation energy = -454 meV/atom

[5]
# LiErSn2Rh4

Crystalline LiErSn2Rh4 at its relaxed geometry (PBE, Alexandria).

Cell and atoms, written as extended XYZ:
```
8
Lattice="-2.836 -2.835 2.113 0.315 -4.466 -0.707 3.947 -2.994 6.143" Properties=species:S:1:pos:R:3 pbc="T T T"
Li 0.713 -5.148 3.774
Er 0.000 0.000 0.000
Sn 1.005 -7.714 5.584
Sn 0.422 -2.582 1.965
Rh 2.450 -5.351 5.832
Rh -0.714 -7.513 3.547
Rh 2.140 -2.783 4.001
Rh -1.023 -4.944 1.716
```

## Properties
Raw total energy = -6.185 eV per atom
DFT formation energy = -699 meV/atom

[6]
# LiTbEr2Rh4

Crystalline LiTbEr2Rh4 at its relaxed geometry (PBE, Alexandria).

Cell and atoms, written as extended XYZ:
```
8
Lattice="-4.324 -1.715 -0.573 -0.759 -3.468 -3.060 -0.376 -6.901 4.324" Properties=species:S:1:pos:R:3 pbc="T T T"
Li -2.729 -6.042 0.346
Tb 0.000 0.000 0.000
Er -4.126 -8.936 0.383
Er -1.332 -3.148 0.308
Rh -2.242 -7.954 2.392
Rh -4.594 -7.099 -1.582
Rh -0.864 -4.984 2.274
Rh -3.216 -4.129 -1.701
```

## Properties
Raw total energy = -6.374 eV per atom
DFT formation energy = -740 meV/atom

[7]
# LiErThRh

Crystalline LiErThRh at its relaxed geometry (PBE, Alexandria).

Cell and atoms, written as extended XYZ:
```
4
Lattice="-1.922 4.389 -1.466 -3.828 0.104 -3.231 -4.556 1.385 1.558" Properties=species:S:1:pos:R:3 pbc="T T T"
Li -2.577 1.470 -0.785
Rh -7.730 4.409 -2.355
Th -5.153 2.939 -1.570
Er 0.000 0.000 0.000
```

## Properties
Raw total energy = -5.678 eV per atom
DFT formation energy = -366 meV/atom

[8]
# LiErTlRh

Crystalline LiErTlRh at its relaxed geometry (PBE, Alexandria).

Cell and atoms, written as extended XYZ:
```
4
Lattice="-2.172 -4.230 0.363 1.702 -3.766 -2.379 2.103 -3.565 2.369" Properties=species:S:1:pos:R:3 pbc="T T T"
Tl 0.408 -2.890 0.088
Li 0.000 0.000 0.000
Rh 0.816 -5.780 0.177
Er 1.224 -8.671 0.265
```

## Properties
Raw total energy = -4.467 eV per atom
DFT formation energy = -418 meV/atom

no.,calculated density (g/cm3)
1,9.485
2,8.452
3,7.855
4,8.206
5,10.319
6,10.354
7,9.505
8,10.427